The following is a DFT calculation (PBE with a Hubbard U) of crystalline TmAgMo2O8 at its relaxed geometry. Values from VASP.

```
&SYSTEM
  ibrav = 0, nat = 12, ntyp = 4
/
ATOMIC_SPECIES
O 16.00 O.upf
Mo 95.94 Mo.upf
Ag 107.87 Ag.upf
Tm 168.93 Tm.upf
ATOMIC_POSITIONS angstrom
O 5.488 -3.562 0.373
O 5.463 -0.143 4.601
O 1.605 -2.622 3.926
O 1.601 -0.295 2.041
O 4.727 -0.839 1.359
O 4.731 -3.166 3.243
O 0.868 -3.318 0.683
O 0.844 0.101 4.911
Mo 5.530 -2.416 1.788
Mo 0.802 -1.045 3.496
Ag 0.000 0.000 0.000
Tm 3.161 0.612 0.749
CELL_PARAMETERS angstrom
-1.522 0.791 5.774
1.531 -5.476 -1.988
6.323 1.224 1.499
```

Values from the calculation:
Raw total energy = -6.964 eV per atom
DOS at the Fermi energy = 0.000 states/eV/atom
Magnetic moment = 0.00 μB per formula unit